{
  "formula": "LiSm2Sn3Te6",
  "functional": "PBE-GGA",
  "state": "relaxed",
  "formation_energy_uncorrected_ev_per_atom": -0.737,
  "dos_at_fermi_per_ev_fu": 4.1,
  "lattice": [[9.8853, -2.2092, 0.0000], [9.8853, 2.2092, 0.0000], [-2.3804, 0.0000, 8.8031]],
  "species": ["Li", "Sm", "Sm", "Sn", "Sn", "Sn", "Te", "Te", "Te", "Te", "Te", "Te"],
  "fractional_positions": [[0.0000, 0.0000, 0.0000], [0.3331, 0.3331, 0.6570], [0.6669, 0.6669, 0.3430], [0.0000, 0.0000, 0.5000], [0.3408, 0.3408, 0.1523], [0.6592, 0.6592, 0.8477], [0.1680, 0.1680, 0.5911], [0.1695, 0.1695, 0.0949], [0.4968, 0.4968, 0.7569], [0.5032, 0.5032, 0.2431], [0.8305, 0.8305, 0.9051], [0.8320, 0.8320, 0.4089]]
}